AcCo3C4O12 | PBE+U | relaxed

abc: 6.2918 6.2918 6.2918
angles: 102.81 102.81 102.81
Fractional positions:
Ac (0.0000, 0.0000, 0.0000)
Co (0.0000, 0.5468, 0.4532)
Co (0.4532, 0.0000, 0.5468)
Co (0.5468, 0.4532, 0.0000)
C (0.0497, 0.5000, 0.9503)
C (0.5000, 0.5000, 0.5000)
C (0.5000, 0.9503, 0.0497)
C (0.9503, 0.0497, 0.5000)
O (0.0333, 0.6176, 0.8058)
O (0.0828, 0.9172, 0.5000)
O (0.1942, 0.3824, 0.9667)
O (0.3672, 0.6328, 0.5000)
O (0.3824, 0.9667, 0.1942)
O (0.5000, 0.0828, 0.9172)
O (0.5000, 0.3672, 0.6328)
O (0.6176, 0.8058, 0.0333)
O (0.6328, 0.5000, 0.3672)
O (0.8058, 0.0333, 0.6176)
O (0.9172, 0.5000, 0.0828)
O (0.9667, 0.1942, 0.3824)

Results
* space-group type: No. 155
* N(E_F): 6.69 states/eV per cell
* uncorrected energy: -7.30 eV/atom